Na2PaIO6 | PBE-GGA | optimized geometry

**Space-group type**: No. 146
**Electronic total energy**: -62.38 eV per formula unit
**Magnetic moment**: 0.000 μB/f.u.
**N(E_F)**: 0.00 states/eV per atom
**Formation energy from raw total energies**: -1.8943 eV per atom

abc: 5.9362 5.9362 5.9362
angles: 58.94 58.94 58.94
Element x y z (fractional)
Na 0.0000 0.0000 0.0000
Na 0.4928 0.4928 0.4928
Pa 0.2272 0.2272 0.2272
I 0.7248 0.7248 0.7248
O 0.0778 0.4606 0.8854
O 0.4008 0.9538 0.5801
O 0.4606 0.8854 0.0778
O 0.5801 0.4008 0.9538
O 0.8854 0.0778 0.4606
O 0.9538 0.5801 0.4008